First-principles (PBE with a Hubbard U) data for a relaxed structure of Ba2AcFeO5, as listed in the Alexandria database.

Calculated values
VASP energy, Ry per atom: -0.492

Lattice parameters (Å, degrees): 9.071 9.071 10.417 90.00 90.00 156.76
Element x y z (fractional)
Ba 0.099 0.901 0.500
Ba 0.108 0.892 0.132
Ba 0.892 0.108 0.632
Ba 0.901 0.099 0.000
Ac 0.218 0.782 0.835
Ac 0.782 0.218 0.335
Fe 0.447 0.553 0.273
Fe 0.553 0.447 0.773
O 0.044 0.956 0.848
O 0.300 0.700 0.487
O 0.347 0.653 0.200
O 0.353 0.647 0.825
O 0.499 0.501 0.117
O 0.501 0.499 0.617
O 0.647 0.353 0.325
O 0.653 0.347 0.700
O 0.700 0.300 0.987
O 0.956 0.044 0.348